Record 1
# PBEsol MgTa2Cd, optimized geometry
# Distance to the lowest polymorph of the same formula, kJ/mol of formula units: 30.9
# ρ, Mg/m³: 11.20
# Formation energy from the elements, eV per atom: 0.3311
data_MgTa2Cd
_cell_length_a 3.339
_cell_length_b 4.468
_cell_length_c 9.909
_cell_angle_alpha 90.00
_cell_angle_beta 90.00
_cell_angle_gamma 90.00
_symmetry_space_group_name_H-M 'C m m m'
_symmetry_Int_Tables_number 65
_symmetry_space_group_name_Hall '-C 2 2'
loop_
_atom_site_label
_atom_site_fract_x
_atom_site_fract_y
_atom_site_fract_z
Mg1 0.000 0.000 0.000
Ta1 0.000 0.500 0.250
Cd1 0.000 0.000 0.500

Record 2
# PBEsol MgTaCd, optimized geometry
# ρ, Mg/m³: 9.33
# Formation energy from the elements, eV per atom: 0.1704
data_MgTaCd
_cell_length_a 4.058
_cell_length_b 4.083
_cell_length_c 13.655
_cell_angle_alpha 90.00
_cell_angle_beta 90.00
_cell_angle_gamma 90.00
_symmetry_space_group_name_H-M 'F m m 2'
_symmetry_Int_Tables_number 42
_symmetry_space_group_name_Hall 'F 2 -2'
loop_
_atom_site_label
_atom_site_fract_x
_atom_site_fract_y
_atom_site_fract_z
Mg1 0.000 0.000 0.000
Ta1 0.000 0.000 0.663
Cd1 0.000 0.000 0.327

Record 3
# PBEsol MgTa2Cd, optimized geometry
# Distance to the lowest polymorph of the same formula, kJ/mol of formula units: 0.0
# ρ, Mg/m³: 10.77
# Formation energy from the elements, eV per atom: 0.2510
data_MgTa2Cd
_cell_length_a 3.422
_cell_length_b 3.422
_cell_length_c 6.566
_cell_angle_alpha 90.00
_cell_angle_beta 90.00
_cell_angle_gamma 90.00
_symmetry_space_group_name_H-M 'P 4 m m'
_symmetry_Int_Tables_number 99
loop_
_symmetry_equiv_pos_as_xyz
'x,y,z'
'-y,x,z'
'-x,-y,z'
'y,-x,z'
'-x,y,z'
'y,x,z'
'x,-y,z'
'-y,-x,z'
loop_
_atom_site_label
_atom_site_fract_x
_atom_site_fract_y
_atom_site_fract_z
Mg1 0.000 0.000 0.000
Ta1 0.000 0.000 0.463
Ta2 0.500 0.500 0.277
Cd1 0.500 0.500 0.747

Record 4
# PBEsol Y2MgTaCd, optimized geometry
# Distance to the lowest polymorph of the same formula, kJ/mol of formula units: 0.0
# ρ, Mg/m³: 5.44
# Formation energy from the elements, eV per atom: 0.7226
data_Y2MgTaCd
_cell_length_a 5.282
_cell_length_b 5.282
_cell_length_c 5.420
_cell_angle_alpha 90.00
_cell_angle_beta 90.00
_cell_angle_gamma 90.00
_symmetry_space_group_name_H-M 'P 4/m m m'
_symmetry_Int_Tables_number 123
_symmetry_space_group_name_Hall '-P 4 2'
loop_
_atom_site_label
_atom_site_fract_x
_atom_site_fract_y
_atom_site_fract_z
Y1 0.000 0.500 0.000
Mg1 0.000 0.000 0.500
Ta1 0.500 0.500 0.000
Cd1 0.500 0.500 0.500

Record 5
# PBEsol Y2MgTaCd, optimized geometry
# Distance to the lowest polymorph of the same formula, kJ/mol of formula units: 180.0
# ρ, Mg/m³: 5.94
# Formation energy from the elements, eV per atom: 1.0957
data_Y2MgTaCd
_cell_length_a 5.313
_cell_length_b 5.313
_cell_length_c 4.906
_cell_angle_alpha 90.00
_cell_angle_beta 90.00
_cell_angle_gamma 90.00
_symmetry_space_group_name_H-M 'P 4/m m m'
_symmetry_Int_Tables_number 123
_symmetry_space_group_name_Hall '-P 4 2'
loop_
_atom_site_label
_atom_site_fract_x
_atom_site_fract_y
_atom_site_fract_z
Y1 0.000 0.500 0.000
Mg1 0.000 0.000 0.000
Ta1 0.000 0.000 0.500
Cd1 0.500 0.500 0.500

Record 6
# PBEsol MgCdTc2, optimized geometry
# Distance to the lowest polymorph of the same formula, kJ/mol of formula units: 150.0
# ρ, Mg/m³: 8.71
# Formation energy from the elements, eV per atom: 0.4269
data_MgCdTc2
_cell_length_a 3.749
_cell_length_b 3.749
_cell_length_c 9.029
_cell_angle_alpha 90.00
_cell_angle_beta 90.00
_cell_angle_gamma 90.00
_symmetry_space_group_name_H-M 'I 4/m m m'
_symmetry_Int_Tables_number 139
_symmetry_space_group_name_Hall '-I 4 2'
loop_
_atom_site_label
_atom_site_fract_x
_atom_site_fract_y
_atom_site_fract_z
Mg1 0.000 0.000 0.000
Cd1 0.000 0.000 0.500
Tc1 0.000 0.500 0.250

Record 7
# PBEsol MgCdTc2, optimized geometry
# Distance to the lowest polymorph of the same formula, kJ/mol of formula units: 0.0
# ρ, Mg/m³: 8.37
# Formation energy from the elements, eV per atom: 0.0382
data_MgCdTc2
_cell_length_a 3.002
_cell_length_b 3.002
_cell_length_c 7.326
_cell_angle_alpha 90.00
_cell_angle_beta 90.00
_cell_angle_gamma 90.00
_symmetry_space_group_name_H-M 'P 4 m m'
_symmetry_Int_Tables_number 99
loop_
_symmetry_equiv_pos_as_xyz
'x,y,z'
'-y,x,z'
'-x,-y,z'
'y,-x,z'
'-x,y,z'
'y,x,z'
'x,-y,z'
'-y,-x,z'
loop_
_atom_site_label
_atom_site_fract_x
_atom_site_fract_y
_atom_site_fract_z
Mg1 0.000 0.000 0.000
Cd1 0.500 0.500 0.710
Tc1 0.000 0.000 0.437
Tc2 0.500 0.500 0.251

Record 8
# PBEsol MgCd2Tc2, optimized geometry
# ρ, Mg/m³: 7.99
# Formation energy from the elements, eV per atom: 0.4687
data_MgCd2Tc2
_cell_length_a 3.545
_cell_length_b 3.545
_cell_length_c 14.731
_cell_angle_alpha 90.00
_cell_angle_beta 90.00
_cell_angle_gamma 90.00
_symmetry_space_group_name_H-M 'I 4/m m m'
_symmetry_Int_Tables_number 139
_symmetry_space_group_name_Hall '-I 4 2'
loop_
_atom_site_label
_atom_site_fract_x
_atom_site_fract_y
_atom_site_fract_z
Mg1 0.000 0.000 0.000
Cd1 0.000 0.000 0.401
Tc1 0.000 0.500 0.250